1.
# Ce2ZrSi PBE relaxed
data_Ce2ZrSi
_chemical_formula_sum 'Ce6 Zr3 Si3'
_cell_length_a 3.0823
_cell_length_b 3.0823
_cell_length_c 33.5457
_cell_angle_alpha 90.00
_cell_angle_beta 90.00
_cell_angle_gamma 120.00
_symmetry_space_group_name_H-M 'R -3 m'
_symmetry_Int_Tables_number 166
_symmetry_space_group_name_Hall '-R 3 2"'
loop_
_atom_site_label
_atom_site_type_symbol
_atom_site_fract_x
_atom_site_fract_y
_atom_site_fract_z
Ce1 Ce 0.0000 0.0000 0.0927
Zr1 Zr 0.0000 0.0000 0.0000
Si1 Si 0.0000 0.0000 0.5000
# **DOS(E_F)**: 21.074 states/eV per cell
# **Crystal system**: trigonal
# **Electronic total energy**: -6.350 eV/atom

2.
# Th2ScTc PBE relaxed
data_Th2ScTc
_chemical_formula_sum 'Th2 Sc1 Tc1'
_cell_length_a 3.543
_cell_length_b 3.543
_cell_length_c 8.189
_cell_angle_alpha 90.00
_cell_angle_beta 90.00
_cell_angle_gamma 90.00
_symmetry_space_group_name_H-M 'P 4/m m m'
_symmetry_Int_Tables_number 123
_symmetry_space_group_name_Hall '-P 4 2'
loop_
_atom_site_label
_atom_site_type_symbol
_atom_site_fract_x
_atom_site_fract_y
_atom_site_fract_z
Th1 Th 0.000 0.000 0.217
Sc1 Sc 0.500 0.500 0.500
Tc1 Tc 0.500 0.500 0.000
# **DOS(E_F)**: 5.809 states/eV per cell
# **Crystal system**: tetragonal
# **Calculated formation energy**: 19 meV per atom

3.
# LiMnSiI2 PBE relaxed
data_LiMnSiI2
_chemical_formula_sum 'Li1 Mn1 Si1 I2'
_cell_length_a 5.485
_cell_length_b 5.485
_cell_length_c 5.494
_cell_angle_alpha 90.00
_cell_angle_beta 90.00
_cell_angle_gamma 90.00
_symmetry_space_group_name_H-M 'P 4/m m m'
_symmetry_Int_Tables_number 123
_symmetry_space_group_name_Hall '-P 4 2'
loop_
_atom_site_label
_atom_site_type_symbol
_atom_site_fract_x
_atom_site_fract_y
_atom_site_fract_z
Li1 Li 0.000 0.000 0.000
Mn1 Mn 0.000 0.000 0.500
Si1 Si 0.500 0.500 0.000
I1 I 0.000 0.500 0.500
# **DOS(E_F)**: 2.410 states/eV per cell
# **Crystal system**: tetragonal
# **Electronic total energy**: -3.236 eV/atom

4.
# Li2FeRu PBE relaxed
data_Li2FeRu
_chemical_formula_sum 'Li4 Fe2 Ru2'
_cell_length_a 2.855
_cell_length_b 4.402
_cell_length_c 8.220
_cell_angle_alpha 90.00
_cell_angle_beta 90.00
_cell_angle_gamma 90.00
_symmetry_space_group_name_H-M 'I m m 2'
_symmetry_Int_Tables_number 44
loop_
_symmetry_equiv_pos_as_xyz
'x,y,z'
'-x,-y,z'
'-x,y,z'
'x,-y,z'
'x+1/2,y+1/2,z+1/2'
'-x+1/2,-y+1/2,z+1/2'
'-x+1/2,y+1/2,z+1/2'
'x+1/2,-y+1/2,z+1/2'
loop_
_atom_site_label
_atom_site_type_symbol
_atom_site_fract_x
_atom_site_fract_y
_atom_site_fract_z
Li1 Li 0.000 0.000 0.000
Li2 Li 0.000 0.500 0.262
Fe1 Fe 0.000 0.000 0.505
Ru1 Ru 0.000 0.500 0.766
# **DOS(E_F)**: 5.588 states/eV per cell
# **Crystal system**: orthorhombic
# **Calculated formation energy**: 328 meV per atom

5.
# NpTl2InI6 PBE relaxed
data_NpTl2InI6
_chemical_formula_sum 'Np3 Tl6 In3 I18'
_cell_length_a 8.5993
_cell_length_b 8.5993
_cell_length_c 22.7930
_cell_angle_alpha 90.00
_cell_angle_beta 90.00
_cell_angle_gamma 120.00
_symmetry_space_group_name_H-M 'R 3'
_symmetry_Int_Tables_number 146
_symmetry_space_group_name_Hall 'R 3'
loop_
_atom_site_label
_atom_site_type_symbol
_atom_site_fract_x
_atom_site_fract_y
_atom_site_fract_z
Np1 Np 0.0000 0.0000 0.0000
Tl1 Tl 0.0000 0.0000 0.3124
Tl2 Tl 0.0000 0.0000 0.8029
In1 In 0.0000 0.0000 0.5068
I1 I 0.0145 0.3913 0.7432
I2 I 0.0565 0.6842 0.5812
# **DOS(E_F)**: 11.956 states/eV per cell
# **Crystal system**: trigonal
# **Electronic total energy**: -3.670 eV/atom

6.
# RbSr2Se2 PBE relaxed
data_RbSr2Se2
_chemical_formula_sum 'Rb2 Sr4 Se4'
_cell_length_a 8.800
_cell_length_b 8.800
_cell_length_c 4.227
_cell_angle_alpha 90.00
_cell_angle_beta 90.00
_cell_angle_gamma 90.00
_symmetry_space_group_name_H-M 'P 4/m b m'
_symmetry_Int_Tables_number 127
_symmetry_space_group_name_Hall '-P 4 2ab'
loop_
_atom_site_label
_atom_site_type_symbol
_atom_site_fract_x
_atom_site_fract_y
_atom_site_fract_z
Rb1 Rb 0.000 0.000 0.000
Sr1 Sr 0.151 0.349 0.500
Se1 Se 0.149 0.649 0.000
# **DOS(E_F)**: 6.208 states/eV per cell
# **Crystal system**: tetragonal
# **Electronic total energy**: -3.578 eV/atom